1.
Entry from Alexandria: a relaxed structure of TlRe2Hg (PBE).

Values from the calculation:
Total energy   -5.7834 eV per atom
E_form   1.108 eV/atom
Excess energy over the best structure of this formula in the dataset   0.660 eV per atom

a b c (Å): 2.9566 4.9390 5.0118
angles (deg): 90.00 90.00 90.00
Last column: nearest neighbours and their distance in Å.
Space group Pmmm (No. 47)
Inequivalent atoms, fractional coordinates:
Tl 0.0000 0.0000 0.0000 x1  4 Re 2.88, 4 Hg 2.91, 2 Tl 2.96
Re 0.0000 0.5000 0.5000 x1  4 Hg 2.88, 6 Re 2.91-2.96
Re 0.5000 0.5000 0.0000 x1  4 Tl 2.88, 6 Re 2.91-2.96
Hg 0.5000 0.0000 0.5000 x1  4 Re 2.88, 4 Tl 2.91, 2 Hg 2.96

***

2.
Entry from Alexandria: a relaxed structure of Sr2CdHg (PBE).

Values from the calculation:
Total energy   -1.5729 eV per atom
E_form   -0.428 eV/atom

a b c (Å): 3.9806 3.9806 8.2489
angles (deg): 90.00 90.00 90.00
Last column: nearest neighbours and their distance in Å.
Space group P4/mmm (No. 123)
Inequivalent atoms, fractional coordinates:
Sr 0.0000 0.0000 0.2444 x2  4 Hg 3.46, 4 Cd 3.52
Cd 0.5000 0.5000 0.5000 x1  8 Sr 3.52
Hg 0.5000 0.5000 0.0000 x1  8 Sr 3.46